# CaZnAu4

A relaxed structure of CaZnAu4 (GGA-PBE, Alexandria).

The space group is Cmcm (No. 63) and the conventional cell measures 4.212, 16.973 and 6.715 Å, with angles of 90.00, 90.00 and 90.00 degrees. The inequivalent atoms are Ca at (0.000, 0.109, 0.250), Zn at (0.000, 0.232, 0.750), Au at (0.000, 0.071, 0.750), Au at (0.000, 0.331, 0.039) and Au at (0.000, 0.500, 0.000).

The volume comes out at 480.0 Å³/cell. The energy above the most stable polymorph in this dataset is 0 meV per atom. The energy relative to the elements is -40.4 kJ/mol of atoms. The value obtained for the magnetic moment is 0.0 μB per formula unit.